No. 1
Density functional theory data (PBE) for crystalline Cu3AgS2 at its relaxed geometry.

Results
For the uncorrected formation energy, the calculation gives -0.0765 eV per atom. The value obtained for the distance to the lowest polymorph of the same formula is 0 meV per atom. For the total energy, the calculation gives -3.976 eV per atom. As for the space group: No. 72.

Cell and atoms, written as extended XYZ:
```
12
Lattice="-3.708 4.664 3.389 3.708 -4.664 3.389 3.708 4.664 -3.389" Properties=species:S:1:pos:R:3 pbc="T T T"
Cu 0.000 0.000 0.000
Cu 1.854 2.332 -1.695
Cu 1.854 -2.332 1.695
Cu -1.854 2.332 1.695
Cu 0.000 0.000 3.389
Cu 1.854 2.332 1.695
Ag 3.708 0.000 1.695
Ag 0.000 4.664 1.695
S 5.517 1.002 0.000
S 1.809 3.662 0.000
S 1.899 1.002 3.389
S -1.809 3.662 3.389
```

No. 2
Density functional theory data (PBE) for crystalline CuAg2S2 at its relaxed geometry.

Results
For the uncorrected formation energy, the calculation gives 0.0799 eV per atom. The value obtained for the distance to the lowest polymorph of the same formula is 117 meV per atom. For the total energy, the calculation gives -3.531 eV per atom. As for the space group: No. 164.

Cell and atoms, written as extended XYZ:
```
5
Lattice="3.431 0.000 0.000 -1.716 2.971 0.000 0.000 0.000 8.470" Properties=species:S:1:pos:R:3 pbc="T T T"
Cu 0.000 0.000 0.000
Ag 0.000 1.981 3.196
Ag 1.716 0.990 5.274
S 0.000 1.981 7.108
S 1.716 0.990 1.363
```

No. 3
Density functional theory data (PBE) for crystalline CuAgS at its relaxed geometry.

Results
For the uncorrected formation energy, the calculation gives -0.0240 eV per atom. For the total energy, the calculation gives -3.716 eV per atom. As for the space group: No. 129.

Cell and atoms, written as extended XYZ:
```
6
Lattice="3.989 0.000 0.000 0.000 3.989 0.000 0.000 0.000 6.150" Properties=species:S:1:pos:R:3 pbc="T T T"
Cu 0.997 2.992 0.000
Cu 2.992 0.997 0.000
Ag 0.997 0.997 2.118
Ag 2.992 2.992 4.032
S 0.997 0.997 4.728
S 2.992 2.992 1.422
```